Below is Be2CrOs2 at its PBEsol-relaxed geometry, with properties calculated at the SCAN level.

Unit cell a=2.9114 b=6.0763 c=6.0763 alpha=90.00 beta=90.00 gamma=90.00
Last column: nearest neighbours and their distance in Å.
Atoms (fractional coordinates):
Cr 0.0000 0.0000 0.0000  4 Be 2.41, 8 Os 2.68
Cr 0.0000 0.5000 0.5000  4 Be 2.41, 8 Os 2.68
Os 0.5000 0.1721 0.6721  6 Be 2.28-2.33
Os 0.5000 0.6721 0.8279  6 Be 2.28-2.33
Os 0.5000 0.8279 0.3279  6 Be 2.28-2.33
Os 0.5000 0.3279 0.1721  6 Be 2.28-2.33
Be 0.0000 0.3768 0.8768  1 Be 2.12, 6 Os 2.28-2.33
Be 0.0000 0.8768 0.6232  1 Be 2.12, 6 Os 2.28-2.33
Be 0.0000 0.6232 0.1232  1 Be 2.12, 6 Os 2.28-2.33
Be 0.0000 0.1232 0.3768  1 Be 2.12, 6 Os 2.28-2.33

Symmetry   P4/mbm
Electronic total energy   -1.2660 hartree per atom